No. 1
Mn2CrRh (GGA-PBE, relaxed); energy = -32.9 eV per formula unit; ΔH_f (0 K) = 606 meV per atom
1.0
-3.064 1.760 -0.207
0.057 -0.314 -3.525
-5.683 -6.484 -1.292
Cr Mn Rh
2 4 2
Direct
0.500 0.500 0.000
0.250 0.750 0.500
0.567 0.125 0.250
0.183 0.625 0.250
0.375 0.433 0.750
0.875 0.817 0.750
0.000 0.000 0.000
0.750 0.250 0.500


No. 2
MnCr2Rh9 (GGA-PBE, relaxed); energy = -93.1 eV per formula unit; ΔH_f (0 K) = 120 meV per atom
1.0
-3.838 6.242 -1.445
-5.862 4.370 3.014
-6.699 13.178 3.913
Mn Cr Rh
1 2 9
Direct
0.000 0.000 0.000
0.073 0.074 0.741
0.927 0.926 0.259
0.532 0.543 0.756
0.468 0.457 0.244
0.500 0.500 0.500
0.644 0.779 0.755
0.625 0.135 0.765
0.121 0.654 0.744
0.356 0.221 0.245
0.879 0.346 0.256
0.375 0.865 0.235


No. 3
Mn2CrRh (GGA-PBE, relaxed); energy = -35.0 eV per formula unit; ΔH_f (0 K) = 75 meV per atom
1.0
4.471 -0.010 0.013
3.702 2.506 0.013
0.783 0.239 4.393
Cr Mn Rh
1 2 1
Direct
0.749 0.749 0.765
0.001 0.001 0.997
0.251 0.251 0.244
0.499 0.499 0.494


No. 4
Mn4CrRh (GGA-PBE, relaxed); energy = -53.2 eV per formula unit; ΔH_f (0 K) = 71 meV per atom
1.0
0.000 3.279 3.279
3.279 0.000 3.279
3.279 3.279 0.000
Mn Cr Rh
4 1 1
Direct
0.873 0.376 0.376
0.376 0.376 0.873
0.376 0.873 0.376
0.376 0.376 0.376
0.000 0.000 0.000
0.750 0.750 0.750


No. 5
Mn2CrRh (GGA-PBE, relaxed); energy = -35.0 eV per formula unit; ΔH_f (0 K) = 71 meV per atom
1.0
3.961 0.000 0.000
0.000 2.603 0.001
0.000 1.303 4.755
Cr Mn Rh
1 2 1
Direct
0.500 0.935 0.754
0.000 0.811 0.003
0.500 0.203 0.219
0.000 0.551 0.524


No. 6
MnCr4Rh (GGA-PBE, relaxed); energy = -54.4 eV per formula unit; ΔH_f (0 K) = 98 meV per atom
1.0
0.000 3.331 3.331
3.331 0.000 3.331
3.331 3.331 0.000
Mn Cr Rh
1 4 1
Direct
0.750 0.750 0.750
0.869 0.377 0.377
0.377 0.377 0.377
0.377 0.377 0.869
0.377 0.869 0.377
0.000 0.000 0.000


No. 7
Mn2CrRh (GGA-PBE, relaxed); energy = -34.2 eV per formula unit; ΔH_f (0 K) = 284 meV per atom
1.0
0.000 2.889 2.889
2.889 0.000 2.889
2.889 2.889 0.000
Cr Mn Rh
1 2 1
Direct
0.000 0.000 0.000
0.250 0.250 0.250
0.750 0.750 0.750
0.500 0.500 0.500


No. 8
MnCr2Rh5 (GGA-PBE, relaxed); energy = -65.9 eV per formula unit; ΔH_f (0 K) = -86 meV per atom
1.0
-3.093 1.830 1.465
-0.956 -4.173 3.192
6.124 4.339 7.508
Mn Cr Rh
2 4 10
Direct
0.000 0.000 0.500
0.000 0.500 0.000
0.500 0.291 0.364
0.500 0.709 0.636
0.500 0.209 0.864
0.500 0.791 0.136
0.500 0.281 0.116
0.500 0.719 0.884
0.500 0.781 0.384
0.500 0.219 0.616
0.000 0.962 0.746
0.000 0.038 0.254
0.000 0.462 0.754
0.000 0.538 0.246
0.000 0.500 0.500
0.000 0.000 0.000


No. 9
Mn2CrRh8 (GGA-PBE, relaxed); energy = -86.7 eV per formula unit; ΔH_f (0 K) = 9 meV per atom
1.0
3.845 0.000 -1.170
-0.964 5.576 -3.167
0.052 0.255 7.073
Mn Cr Rh
2 1 8
Direct
0.200 0.700 0.400
0.800 0.300 0.600
0.500 0.000 0.000
0.651 0.865 0.302
0.349 0.563 0.698
0.149 0.149 0.298
0.000 0.297 0.000
0.851 0.851 0.702
0.651 0.437 0.302
0.349 0.135 0.698
0.000 0.703 0.000


No. 10
MnCrRh2 (GGA-PBE, relaxed); energy = -34.0 eV per formula unit; ΔH_f (0 K) = -120 meV per atom
1.0
-2.847 4.377 3.218
-2.022 -2.304 -3.286
-1.984 -0.824 1.796
Cr Mn Rh
1 1 2
Direct
0.000 0.500 0.500
0.500 0.500 0.000
0.000 0.000 0.000
0.500 0.000 0.500


No. 11
Mn3CrRh12 (GGA-PBE, relaxed); energy = -127.4 eV per formula unit; ΔH_f (0 K) = -128 meV per atom
1.0
3.803 0.000 0.000
0.000 3.803 0.000
0.000 0.000 15.222
Mn Cr Rh
3 1 12
Direct
0.000 0.000 0.251
0.000 0.000 0.500
0.000 0.000 0.749
0.000 0.000 0.000
0.500 0.500 0.000
0.500 0.500 0.249
0.500 0.500 0.500
0.500 0.500 0.751
0.500 0.000 0.123
0.500 0.000 0.376
0.500 0.000 0.624
0.500 0.000 0.877
0.000 0.500 0.123
0.000 0.500 0.376
0.000 0.500 0.624
0.000 0.500 0.877


No. 12
MnCrRh2 (GGA-PBE, relaxed); energy = -33.9 eV per formula unit; ΔH_f (0 K) = -95 meV per atom
1.0
2.765 0.000 0.000
0.000 3.578 0.000
0.000 0.000 5.479
Cr Mn Rh
1 1 2
Direct
0.500 0.500 0.250
0.500 0.500 0.750
0.000 0.000 0.005
0.000 0.000 0.495


Q: Among the records above, which one has the highest energy?
A: number 1